## HfTeNO (PBE)

Data for crystalline HfTeNO at its relaxed geometry.

Total moment   0.0 μB/cell
E   -7.99 eV/atom
Calculated volume   168.9 Å³ per cell
Energy relative to the lowest polymorph listed for this composition   0 meV/atom

Structure (CIF):
```
data_HfTeNO
_chemical_formula_sum 'Hf2 Te2 N2 O2'
_cell_length_a 3.582
_cell_length_b 7.660
_cell_length_c 6.155
_cell_angle_alpha 90.00
_cell_angle_beta 90.00
_cell_angle_gamma 90.00
_symmetry_space_group_name_H-M 'P m c 21'
_symmetry_Int_Tables_number 26
loop_
_symmetry_equiv_pos_as_xyz
'x,y,z'
'-x,-y,z+1/2'
'-x,y,z'
'x,-y,z+1/2'
loop_
_atom_site_label
_atom_site_type_symbol
_atom_site_fract_x
_atom_site_fract_y
_atom_site_fract_z
Hf1 Hf 0.000 0.142 0.000
Te1 Te 0.500 0.474 0.698
N1 N 0.500 0.268 0.942
O1 O 0.000 0.049 0.294
```